Below is a relaxed AgOsBr crystal, with properties calculated at the GGA-PBEsol level.

extended XYZ file:
```
3
Lattice="0.0000 3.0478 3.0478 3.0478 0.0000 3.0478 3.0478 3.0478 0.0000" Properties=species:S:1:pos:R:3 pbc="T T T"
Ag 0.0000 0.0000 0.0000
Os 3.0478 3.0478 3.0478
Br 4.5716 4.5716 4.5716
```

Values from the calculation:
crystal system	cubic
ΔE_f (raw)	1.766	eV per atom
ΔE to the lowest computed polymorph	78.4	kJ/mol of atoms
density of states at the Fermi level	2.82	states/eV per cell
mass density	11.1	Mg/m³